LiAcCuPd after structural relaxation. Source: Alexandria via LeMat-Bulk, functional PBE.

Output
Its energy above the most stable polymorph in this dataset is 0 meV/atom. As for the total energy: -4.2371 eV/atom. Its energy of formation from the pure elements is -0.41 eV per atom. The value obtained for the total magnetization is 0.000 μB per formula unit.

Cell and atoms, written as CIF:
```
data_LiAcCuPd
_chemical_formula_sum 'Li3 Ac3 Cu3 Pd3'
_symmetry_space_group_name_H-M 'R 3 m'
_symmetry_Int_Tables_number 160
_symmetry_space_group_name_Hall 'R 3 -2"'
_cell_length_a 4.4076
_cell_length_b 4.4076
_cell_length_c 15.5627
_cell_angle_alpha 90.00
_cell_angle_beta 90.00
_cell_angle_gamma 120.00
loop_
_atom_site_label
_atom_site_fract_x
_atom_site_fract_y
_atom_site_fract_z
_atom_site_occupancy
Li1 0.0000 0.0000 0.0000 1
Ac1 0.0000 0.0000 0.5023 1
Cu1 0.0000 0.0000 0.7027 1
Pd1 0.0000 0.0000 0.2964 1
```

LiAcCuPd2 after structural relaxation. Source: Alexandria via LeMat-Bulk, functional PBE.

Output
As for the total energy: -4.6048 eV/atom. Its energy of formation from the pure elements is -0.50 eV per atom. The value obtained for the total magnetization is 0.000 μB per formula unit.

Cell and atoms, written as CIF:
```
data_LiAcCuPd2
_chemical_formula_sum 'Li2 Ac2 Cu2 Pd4'
_symmetry_space_group_name_H-M 'I -4 m 2'
_symmetry_Int_Tables_number 119
_symmetry_space_group_name_Hall 'I -4 -2'
_cell_length_a 4.155
_cell_length_b 4.155
_cell_length_c 11.633
_cell_angle_alpha 90.00
_cell_angle_beta 90.00
_cell_angle_gamma 90.00
loop_
_atom_site_label
_atom_site_fract_x
_atom_site_fract_y
_atom_site_fract_z
_atom_site_occupancy
Li1 0.000 0.000 0.000 1
Ac1 0.000 0.500 0.750 1
Cu1 0.000 0.000 0.500 1
Pd1 0.000 0.500 0.134 1
```

LiAc2Cu6Pt after structural relaxation. Source: Alexandria via LeMat-Bulk, functional PBE.

Output
As for the total energy: -4.2322 eV/atom. Its energy of formation from the pure elements is -0.16 eV per atom. The value obtained for the total magnetization is 0.000 μB per formula unit.

Cell and atoms, written as CIF:
```
data_LiAc2Cu6Pt
_chemical_formula_sum 'Li1 Ac2 Cu6 Pt1'
_symmetry_space_group_name_H-M 'P -1'
_symmetry_Int_Tables_number 2
_cell_length_a 6.218
_cell_length_b 6.362
_cell_length_c 6.585
_cell_angle_alpha 92.82
_cell_angle_beta 117.34
_cell_angle_gamma 117.03
loop_
_symmetry_equiv_pos_as_xyz
'x,y,z'
'-x,-y,-z'
loop_
_atom_site_label
_atom_site_fract_x
_atom_site_fract_y
_atom_site_fract_z
_atom_site_occupancy
Li1 0.000 0.000 0.000 1
Ac1 0.377 0.307 0.690 1
Cu1 0.083 0.663 0.906 1
Cu2 0.225 0.831 0.335 1
Cu3 0.486 0.892 0.819 1
Pt1 0.000 0.500 0.500 1
```

Li3Ac2Cu12Pt after structural relaxation. Source: Alexandria via LeMat-Bulk, functional PBE.

Output
As for the total energy: -3.7881 eV/atom. Its energy of formation from the pure elements is 0.05 eV per atom. The value obtained for the total magnetization is 0.000 μB per formula unit.

Cell and atoms, written as CIF:
```
data_Li3Ac2Cu12Pt
_chemical_formula_sum 'Li9 Ac6 Cu36 Pt3'
_symmetry_space_group_name_H-M 'R -3 m'
_symmetry_Int_Tables_number 166
_symmetry_space_group_name_Hall '-R 3 2"'
_cell_length_a 5.9798
_cell_length_b 5.9798
_cell_length_c 29.3190
_cell_angle_alpha 90.00
_cell_angle_beta 90.00
_cell_angle_gamma 120.00
loop_
_atom_site_label
_atom_site_fract_x
_atom_site_fract_y
_atom_site_fract_z
_atom_site_occupancy
Li1 0.0000 0.5000 0.0000 1
Ac1 0.0000 0.0000 0.1438 1
Cu1 0.0479 0.5240 0.0934 1
Cu2 0.0666 0.5333 0.6200 1
Pt1 0.0000 0.0000 0.5000 1
```

LiAc2CuPt6 after structural relaxation. Source: Alexandria via LeMat-Bulk, functional PBE.

Output
As for the total energy: -5.7558 eV/atom. Its energy of formation from the pure elements is -0.71 eV per atom. The value obtained for the total magnetization is 0.000 μB per formula unit.

Cell and atoms, written as CIF:
```
data_LiAc2CuPt6
_chemical_formula_sum 'Li1 Ac2 Cu1 Pt6'
_symmetry_space_group_name_H-M 'P -1'
_symmetry_Int_Tables_number 2
_cell_length_a 5.431
_cell_length_b 6.787
_cell_length_c 6.790
_cell_angle_alpha 82.48
_cell_angle_beta 66.50
_cell_angle_gamma 66.47
loop_
_symmetry_equiv_pos_as_xyz
'x,y,z'
'-x,-y,-z'
loop_
_atom_site_label
_atom_site_fract_x
_atom_site_fract_y
_atom_site_fract_z
_atom_site_occupancy
Li1 0.000 0.000 0.000 1
Ac1 0.458 0.293 0.791 1
Cu1 0.000 0.500 0.500 1
Pt1 0.003 0.748 0.751 1
Pt2 0.169 0.080 0.581 1
Pt3 0.499 0.748 0.749 1
```

LiAc2CuRh2 after structural relaxation. Source: Alexandria via LeMat-Bulk, functional PBE.

Output
As for the total energy: -5.2650 eV/atom. Its energy of formation from the pure elements is -0.44 eV per atom. The value obtained for the total magnetization is 0.000 μB per formula unit.

Cell and atoms, written as CIF:
```
data_LiAc2CuRh2
_chemical_formula_sum 'Li4 Ac8 Cu4 Rh8'
_symmetry_space_group_name_H-M 'I b a m'
_symmetry_Int_Tables_number 72
_symmetry_space_group_name_Hall '-I 2 2c'
_cell_length_a 5.919
_cell_length_b 15.167
_cell_length_c 5.905
_cell_angle_alpha 90.00
_cell_angle_beta 90.00
_cell_angle_gamma 90.00
loop_
_atom_site_label
_atom_site_fract_x
_atom_site_fract_y
_atom_site_fract_z
_atom_site_occupancy
Li1 0.000 0.000 0.250 1
Ac1 0.247 0.339 0.000 1
Cu1 0.000 0.500 0.250 1
Rh1 0.246 0.381 0.500 1
```

LiAc3Cu2S6 after structural relaxation. Source: Alexandria via LeMat-Bulk, functional PBE.

Output
As for the total energy: -5.1765 eV/atom. The value obtained for the total magnetization is 0.000 μB per formula unit. For the uncorrected formation energy, the calculation gives -14.92 eV/f.u.

Cell and atoms, written as CIF:
```
data_LiAc3Cu2S6
_chemical_formula_sum 'Li1 Ac3 Cu2 S6'
_symmetry_space_group_name_H-M 'P -3 m 1'
_symmetry_Int_Tables_number 164
_symmetry_space_group_name_Hall '-P 3 2"'
_cell_length_a 7.0313
_cell_length_b 7.0313
_cell_length_c 6.9734
_cell_angle_alpha 90.00
_cell_angle_beta 90.00
_cell_angle_gamma 120.00
loop_
_atom_site_label
_atom_site_fract_x
_atom_site_fract_y
_atom_site_fract_z
_atom_site_occupancy
Li1 0.0000 0.0000 0.0000 1
Ac1 0.0000 0.0000 0.5000 1
Ac2 0.3333 0.6667 0.1178 1
Cu1 0.3333 0.6667 0.6498 1
S1 0.1695 0.3390 0.7942 1
```

LiAcCu2Si2 after structural relaxation. Source: Alexandria via LeMat-Bulk, functional PBE.

Output
As for the total energy: -4.5848 eV/atom. The value obtained for the total magnetization is 0.000 μB per formula unit. For the uncorrected formation energy, the calculation gives -2.45 eV/f.u.

Cell and atoms, written as CIF:
```
data_LiAcCu2Si2
_chemical_formula_sum 'Li1 Ac1 Cu2 Si2'
_symmetry_space_group_name_H-M 'P -3 m 1'
_symmetry_Int_Tables_number 164
_symmetry_space_group_name_Hall '-P 3 2"'
_cell_length_a 4.1547
_cell_length_b 4.1547
_cell_length_c 7.2289
_cell_angle_alpha 90.00
_cell_angle_beta 90.00
_cell_angle_gamma 120.00
loop_
_atom_site_label
_atom_site_fract_x
_atom_site_fract_y
_atom_site_fract_z
_atom_site_occupancy
Li1 0.0000 0.0000 0.0000 1
Ac1 0.0000 0.0000 0.5000 1
Cu1 0.3333 0.6667 0.1464 1
Si1 0.3333 0.6667 0.8030 1
```